Pm5Co2Hg | PBE | optimized geometry

Structure (POSCAR):
```
Pm5Co2Hg
1.0
-4.628 5.534 -3.027
-3.368 -5.342 -4.617
-0.613 -1.331 8.615
Hg Pm Co
2 10 4
Direct
0.250 0.250 0.500 Hg
0.750 0.750 0.500 Hg
0.206 0.030 0.736 Pm
0.470 0.294 0.264 Pm
0.970 0.470 0.264 Pm
0.294 0.794 0.264 Pm
0.000 0.000 0.000 Pm
0.030 0.530 0.736 Pm
0.706 0.206 0.736 Pm
0.530 0.706 0.736 Pm
0.500 0.500 0.000 Pm
0.794 0.970 0.264 Pm
0.631 0.131 0.000 Co
0.869 0.631 0.000 Co
0.131 0.369 0.000 Co
0.369 0.869 0.000 Co
```

Output
The value obtained for the calculated volume is 25.9 Å³/atom. The value obtained for the magnetic moment is 0.00 Bohr magnetons per cell. The formation energy is -0.19 eV per atom. As for the space group: I4/mcm.

=====

Pm2CoHg | PBE | optimized geometry

Structure (POSCAR):
```
Pm2CoHg
1.0
-0.644 1.503 -3.131
0.312 -3.146 -1.575
-7.571 -1.234 0.964
Co Hg Pm
1 1 2
Direct
0.500 0.500 0.000 Co
0.500 0.500 0.500 Hg
0.000 0.000 0.217 Pm
0.000 0.000 0.783 Pm
```

Output
The value obtained for the calculated volume is 24.1 Å³/atom. The value obtained for the magnetic moment is 0.67 Bohr magnetons per cell. The energy above the most stable polymorph in this dataset is 0.000 eV/atom. The formation energy is -0.24 eV per atom. As for the space group: P4/mmm.

=====

PmScCoHg | PBE | optimized geometry

Structure (POSCAR):
```
PmScCoHg
1.0
-1.336 1.715 -4.468
3.167 -0.282 -3.818
-0.871 -3.175 -3.721
Sc Pm Co Hg
1 1 1 1
Direct
0.750 0.750 0.750 Sc
0.250 0.250 0.250 Pm
0.000 0.000 0.000 Co
0.500 0.500 0.500 Hg
```

Output
The value obtained for the calculated volume is 21.7 Å³/atom. The value obtained for the magnetic moment is 0.45 Bohr magnetons per cell. The formation energy is -0.16 eV per atom. As for the space group: F-43m.

=====

PmSmCoHg | PBE | optimized geometry

Structure (POSCAR):
```
PmSmCoHg
1.0
-4.792 1.069 -1.566
-3.922 -3.000 1.474
-3.476 1.773 3.367
Co Hg Sm Pm
1 1 1 1
Direct
0.500 0.500 0.500 Co
0.000 0.000 0.000 Hg
0.250 0.250 0.250 Sm
0.750 0.750 0.750 Pm
```

Output
The value obtained for the calculated volume is 24.2 Å³/atom. The value obtained for the magnetic moment is 0.54 Bohr magnetons per cell. The formation energy is -0.16 eV per atom. As for the space group: F-43m.

=====

Pm3CoSn3Hg2 | PBE | optimized geometry

Structure (POSCAR):
```
Pm3CoSn3Hg2
1.0
-3.117 -2.402 -1.471
2.342 -5.853 4.593
-5.220 5.167 2.624
Pm Hg Sn Co
3 2 3 1
Direct
0.000 0.380 0.000 Pm
0.000 0.000 0.380 Pm
0.000 0.620 0.620 Pm
0.500 0.333 0.667 Hg
0.500 0.667 0.333 Hg
0.500 0.000 0.766 Sn
0.500 0.234 0.234 Sn
0.500 0.766 0.000 Sn
0.000 0.000 0.000 Co
```

Output
The value obtained for the calculated volume is 24.6 Å³/atom. The value obtained for the magnetic moment is 0.40 Bohr magnetons per cell. The formation energy is -0.52 eV per atom. As for the space group: P-62m.

=====

PmThCoHg | PBE | optimized geometry

Structure (POSCAR):
```
PmThCoHg
1.0
-1.357 3.430 -1.445
-1.407 -1.398 3.438
7.016 2.039 3.699
Th Pm Co Hg
1 1 1 1
Direct
0.093 0.945 0.054 Th
0.505 0.150 0.670 Pm
0.312 0.554 0.880 Co
0.968 0.382 0.365 Hg
```

Output
The value obtained for the calculated volume is 26.8 Å³/atom. The value obtained for the magnetic moment is 0.00 Bohr magnetons per cell. The formation energy is -0.26 eV per atom. As for the space group: Cm.

=====

PmYCoHg | PBE | optimized geometry

Structure (POSCAR):
```
PmYCoHg
1.0
5.107 0.000 0.000
2.553 4.423 0.000
2.553 1.474 4.170
Hg Y Pm Co
1 1 1 1
Direct
0.500 0.500 0.500 Hg
0.750 0.750 0.750 Y
0.250 0.250 0.250 Pm
0.000 0.000 0.000 Co
```

Output
The value obtained for the calculated volume is 23.5 Å³/atom. The value obtained for the magnetic moment is 0.50 Bohr magnetons per cell. The formation energy is -0.19 eV per atom. As for the space group: F-43m.

=====

Pr2CoHg | PBE | optimized geometry

Structure (POSCAR):
```
Pr2CoHg
1.0
4.050 0.000 0.000
2.025 3.507 0.000
2.025 1.169 7.855
Pr Hg Co
2 1 1
Direct
0.065 0.065 0.805 Pr
0.269 0.269 0.193 Pr
0.500 0.500 0.499 Hg
0.666 0.666 0.003 Co
```

Output
The value obtained for the calculated volume is 27.9 Å³/atom. The value obtained for the magnetic moment is 0.00 Bohr magnetons per cell. The energy above the most stable polymorph in this dataset is 0.024 eV/atom. The formation energy is -0.16 eV per atom. As for the space group: R3m.

=====

Pr8Co2Hg | PBE | optimized geometry

Structure (POSCAR):
```
Pr8Co2Hg
1.0
-0.275 5.520 -1.523
-6.216 -2.745 -4.531
-1.420 0.947 7.987
Pr Co Hg
8 2 1
Direct
0.939 0.661 0.916 Pr
0.500 0.242 0.758 Pr
0.061 0.339 0.084 Pr
0.691 0.393 0.393 Pr
0.309 0.607 0.607 Pr
0.500 0.758 0.242 Pr
0.939 0.916 0.661 Pr
0.061 0.084 0.339 Pr
0.000 0.286 0.714 Co
0.000 0.714 0.286 Co
0.500 0.000 0.000 Hg
```

Output
The value obtained for the calculated volume is 29.9 Å³/atom. The value obtained for the magnetic moment is 0.00 Bohr magnetons per cell. The formation energy is -0.02 eV per atom. As for the space group: C2/m.

=====

Pr2CoHg | PBE | optimized geometry

Structure (POSCAR):
```
Pr2CoHg
1.0
-3.193 -4.099 0.738
-0.774 -1.887 4.836
-4.633 0.676 2.370
Pr Co Hg
2 1 1
Direct
0.750 0.750 0.750 Pr
0.250 0.250 0.250 Pr
0.000 0.000 0.000 Co
0.500 0.500 0.500 Hg
```

Output
The value obtained for the calculated volume is 25.5 Å³/atom. The value obtained for the magnetic moment is 0.64 Bohr magnetons per cell. The energy above the most stable polymorph in this dataset is 0.080 eV/atom. The formation energy is -0.11 eV per atom. As for the space group: Fm-3m.

=====

Pr5CoHg2 | PBE | optimized geometry

Structure (POSCAR):
```
Pr5CoHg2
1.0
5.578 0.000 0.000
-2.789 8.146 0.000
0.000 0.000 12.628
Hg Pr Co
4 10 2
Direct
0.880 0.761 0.364 Hg
0.120 0.239 0.636 Hg
0.120 0.239 0.864 Hg
0.880 0.761 0.136 Hg
0.073 0.146 0.397 Pr
0.304 0.609 0.750 Pr
0.927 0.854 0.897 Pr
0.306 0.613 0.417 Pr
0.306 0.613 0.083 Pr
0.927 0.854 0.603 Pr
0.694 0.387 0.917 Pr
0.694 0.387 0.583 Pr
0.073 0.146 0.103 Pr
0.696 0.391 0.250 Pr
0.807 0.613 0.750 Co
0.193 0.387 0.250 Co
```

Output
The value obtained for the calculated volume is 35.9 Å³/atom. The value obtained for the magnetic moment is 0.00 Bohr magnetons per cell. The energy above the most stable polymorph in this dataset is 0.277 eV/atom. The formation energy is 0.02 eV per atom. As for the space group: Cmcm.

=====

Pr4Co2Hg | PBE | optimized geometry

Structure (POSCAR):
```
Pr4Co2Hg
1.0
-0.275 -2.256 -3.348
4.763 -1.374 2.980
-9.942 -13.279 9.766
Pr Hg Co
8 2 4
Direct
0.500 0.000 0.500 Pr
0.785 0.570 0.126 Pr
0.500 0.000 0.000 Pr
0.215 0.430 0.626 Pr
0.083 0.166 0.250 Pr
0.215 0.430 0.874 Pr
0.785 0.570 0.374 Pr
0.917 0.834 0.750 Pr
0.370 0.740 0.250 Hg
0.630 0.260 0.750 Hg
0.218 0.435 0.018 Co
0.782 0.565 0.982 Co
0.218 0.435 0.482 Co
0.782 0.565 0.518 Co
```

Output
The value obtained for the calculated volume is 30.1 Å³/atom. The value obtained for the magnetic moment is 2.24 Bohr magnetons per cell. The energy above the most stable polymorph in this dataset is 0.096 eV/atom. The formation energy is 0.00 eV per atom. As for the space group: Cmcm.